(1)
VASP calculation (PBE) on a geometry-optimized Cs3Sm3NbO8 structure.

```
data_Cs3Sm3NbO8
_chemical_formula_sum 'Cs9 Sm9 Nb3 O24'
_space_group_name_H-M_alt 'R -3 m'
_space_group_IT_number 166
_space_group_name_Hall '-R 3 2"'
_cell_length_a 7.0718
_cell_length_b 7.0718
_cell_length_c 20.9438
_cell_angle_alpha 90.00
_cell_angle_beta 90.00
_cell_angle_gamma 120.00
loop_
_atom_site_label
_atom_site_type_symbol
_atom_site_fract_x
_atom_site_fract_y
_atom_site_fract_z
Cs1 Cs 0.0000 0.5000 0.0000
Sm1 Sm 0.0000 0.5000 0.5000
Nb1 Nb 0.0000 0.0000 0.5000
O1 O 0.0000 0.0000 0.2216
O2 O 0.0312 0.5156 0.2169
```

Output
- calculated volume (Å³ per atom) = 20.157
- D(E_F) (states/eV/cell) = 8.4
- calculated total energy (eV/atom) = -6.97



(2)
VASP calculation (PBE) on a geometry-optimized Ac3Sb2PtAu6 structure.

```
data_Ac3Sb2PtAu6
_chemical_formula_sum 'Ac3 Sb2 Pt1 Au6'
_space_group_name_H-M_alt 'P -3 m 1'
_space_group_IT_number 164
_space_group_name_Hall '-P 3 2"'
_cell_length_a 6.3824
_cell_length_b 6.3824
_cell_length_c 9.0237
_cell_angle_alpha 90.00
_cell_angle_beta 90.00
_cell_angle_gamma 120.00
loop_
_atom_site_label
_atom_site_type_symbol
_atom_site_fract_x
_atom_site_fract_y
_atom_site_fract_z
Ac1 Ac 0.0000 0.0000 0.0000
Ac2 Ac 0.3333 0.6667 0.6245
Sb1 Sb 0.3333 0.6667 0.0529
Pt1 Pt 0.0000 0.0000 0.5000
Au1 Au 0.1734 0.3468 0.2905
```

Output
- calculated volume (Å³ per atom) = 26.528
- D(E_F) (states/eV/cell) = 2.3
- calculated total energy (eV/atom) = -4.49



Number 1: total magnetic moment 0.0495 μB per atom. Number 2: total magnetic moment 0.0000 μB per atom.